# 1
Below is a relaxed SrRu2Se crystal, with properties calculated at the PBE-GGA level.

extended XYZ file:
```
8
Lattice="-2.3922 2.3922 8.6015 2.3922 -2.3922 8.6015 2.3922 2.3922 -8.6015" Properties=species:S:1:pos:R:3 pbc="T T T"
Sr 0.0000 0.0000 0.0000
Sr 0.0000 2.3922 4.3007
Ru 1.1961 -0.1259 6.4511
Ru 2.2663 1.1961 2.1504
Ru 1.1961 2.5181 -2.1504
Ru 0.1259 1.1961 10.7519
Se 2.3922 0.0000 4.3007
Se 0.0000 0.0000 8.6015
```

Calculated values
energy relative to the elements, uncorrected: 0.04 eV per atom
raw total energy: -23.57 eV/f.u.
space-group type: I-42d
M_tot: 0.000 μB/cell



# 2
Below is a relaxed LaGd2Pt crystal, with properties calculated at the PBE-GGA level.

extended XYZ file:
```
4
Lattice="3.6031 0.0000 0.0000 0.0000 3.6031 0.0000 0.0000 0.0000 8.7995" Properties=species:S:1:pos:R:3 pbc="T T T"
La 0.0000 0.0000 0.0000
Gd 1.8016 1.8016 2.7500
Gd 1.8016 1.8016 6.0495
Pt 0.0000 0.0000 4.3997
```

Calculated values
ΔE to the lowest computed polymorph: 0 meV per atom
energy relative to the elements: -0.578 eV/atom
raw total energy: -41.44 eV/f.u.
space-group type: P4/mmm
M_tot: 14.492 μB/cell



# 3
Below is a relaxed Pr2SmYEr crystal, with properties calculated at the PBE-GGA level.

extended XYZ file:
```
10
Lattice="4.2462 -5.8403 0.0000 4.2462 5.8403 0.0000 0.0000 0.0000 7.3414" Properties=species:S:1:pos:R:3 pbc="T T T"
Pr 1.6284 0.0000 0.0000
Pr 1.6284 0.0000 3.6707
Pr 6.8640 0.0000 0.0000
Pr 6.8640 0.0000 3.6707
Sm 4.2462 3.2330 5.5060
Sm 4.2462 -3.2330 1.8353
Y 4.2462 0.1210 5.5060
Y 4.2462 -0.1210 1.8353
Er 4.2462 3.1172 1.8353
Er 4.2462 -3.1172 5.5060
```

Calculated values
energy relative to the elements: 0.421 eV/atom
raw total energy: -23.20 eV/f.u.
space-group type: Cmcm
M_tot: 0.003 μB/cell



# 4
Below is a relaxed La4TcW crystal, with properties calculated at the PBE-GGA level.

extended XYZ file:
```
6
Lattice="0.0000 4.3315 4.3315 4.3315 0.0000 4.3315 4.3315 4.3315 0.0000" Properties=species:S:1:pos:R:3 pbc="T T T"
La 1.0820 1.0820 1.0820
La 3.2495 3.2495 1.0820
La 3.2495 1.0820 3.2495
La 1.0820 3.2495 3.2495
Tc 6.4973 6.4973 6.4973
W 4.3315 4.3315 4.3315
```

Calculated values
energy relative to the elements: 1.337 eV/atom
raw total energy: -35.01 eV/f.u.
space-group type: F-43m
M_tot: 2.823 μB/cell



# 5
Below is a relaxed BaLiAgBi2 crystal, with properties calculated at the PBE-GGA level.

extended XYZ file:
```
5
Lattice="-2.4650 2.4650 6.2299 2.4650 -2.4650 6.2299 2.4650 2.4650 -6.2299" Properties=species:S:1:pos:R:3 pbc="T T T"
Ba 0.0000 0.0000 0.0000
Li 0.0000 2.4650 3.1150
Ag 2.4650 0.0000 3.1150
Bi 0.0000 0.0000 4.6631
Bi 0.0000 0.0000 7.7967
```

Calculated values
energy relative to the elements: -0.528 eV/atom
raw total energy: -17.09 eV/f.u.
space-group type: I-4m2
M_tot: 0.000 μB/cell



# 6
Below is a relaxed Sc2TlSb crystal, with properties calculated at the PBE-GGA level.

extended XYZ file:
```
4
Lattice="4.1485 0.0000 0.0000 0.0000 4.5920 0.0000 0.0000 0.0000 4.9243" Properties=species:S:1:pos:R:3 pbc="T T T"
Sc 0.0000 0.0000 0.0000
Sc 0.0000 2.2960 2.4622
Tl 2.0743 0.0000 2.4622
Sb 2.0743 2.2960 0.0000
```

Calculated values
ΔE to the lowest computed polymorph: 83 meV per atom
energy relative to the elements, uncorrected: -0.44 eV per atom
raw total energy: -20.90 eV/f.u.
space-group type: Pmmm
M_tot: 0.949 μB/cell



Q: M_tot of number 5 (BaLiAgBi2)?
A: 0.000 μB/cell



Q: Look up the M_tot of the fifth one.
A: 0.000 μB/cell



Copy entry 2 word for word.
Below is a relaxed LaGd2Pt crystal, with properties calculated at the PBE-GGA level.

extended XYZ file:
```
4
Lattice="3.6031 0.0000 0.0000 0.0000 3.6031 0.0000 0.0000 0.0000 8.7995" Properties=species:S:1:pos:R:3 pbc="T T T"
La 0.0000 0.0000 0.0000
Gd 1.8016 1.8016 2.7500
Gd 1.8016 1.8016 6.0495
Pt 0.0000 0.0000 4.3997
```

Calculated values
ΔE to the lowest computed polymorph: 0 meV per atom
energy relative to the elements: -0.578 eV/atom
raw total energy: -41.44 eV/f.u.
space-group type: P4/mmm
M_tot: 14.492 μB/cell